# 1
Density functional theory data (PBE) for a relaxed BaIn3S crystal.

Computed properties:
offset from the most stable computed form: 1063 meV per atom

Cell lengths 6.4227, 6.4227, 6.4227 Å; angles 90.00, 90.00, 90.00 degrees
Last column: nearest neighbours and their distance in Å.
Space group Pm-3m (No. 221)
Asymmetric unit:
Ba: 0.0000 0.0000 0.0000 [1 per cell]  6 In 3.21
In: 0.0000 0.0000 0.5000 [3 per cell]  2 Ba 3.21
S: 0.5000 0.5000 0.5000 [1 per cell]  12 In 4.54

***

# 2
Density functional theory data (PBE) for a relaxed Ba2InS crystal.

Computed properties:
offset from the most stable computed form: 159 meV per atom

Cell lengths 8.7175, 8.7175, 9.2291 Å; angles 90.00, 90.00, 90.00 degrees
Last column: nearest neighbours and their distance in Å.
Space group I-42d (No. 122)
Asymmetric unit:
Ba: 0.1975 0.2500 0.1250 [8 per cell]  2 S 3.01
In: 0.0000 0.0000 0.5000 [4 per cell]  4 Ba 3.61
S: 0.0000 0.0000 0.0000 [4 per cell]  4 Ba 3.01

***

# 3
Density functional theory data (PBE) for a relaxed BaInS crystal.

Cell lengths 4.3953, 4.3953, 12.1174 Å; angles 90.00, 90.00, 120.00 degrees
Last column: nearest neighbours and their distance in Å.
Space group P-6m2 (No. 187)
Asymmetric unit:
Ba: 0.0000 0.0000 0.1619 [2 per cell]  3 S 3.21
In: 0.3333 0.6667 0.3774 [2 per cell]  3 S 2.94, 1 In 2.97
S: 0.0000 0.0000 0.5000 [1 per cell]  6 In 2.94
S: 0.3333 0.6667 0.0000 [1 per cell]  6 Ba 3.21

***

| no. | DFT total energy (eV per atom) |
| --- | --- |
| 1 | -1.8857 |
| 2 | -3.5545 |
| 3 | -3.7383 |